DFT (GGA-PBE) results for a relaxed Ac6Sb3As2Br crystal.

Computed properties:
D(E_F) = 8.69 states/eV per cell
Magnetic moment = 0.000 μB per atom
Formation energy (no corrections) = -1.339 eV per atom
Energy = -128.12 eV for the cell shown

Cell: 20.324 4.679 9.343 Å, 90.00 102.51 90.00°
Space group C2/m (No. 12)
Inequivalent atoms, fractional coordinates:
Ac: 0.007 0.000 0.263 x4
Ac: 0.170 0.500 0.576 x4
Ac: 0.173 0.500 0.100 x4
Sb: 0.000 0.500 0.500 x2
Sb: 0.161 0.000 0.835 x4
As: 0.167 0.000 0.332 x4
Br: 0.000 0.500 0.000 x2